No. 1
# YHf31O64 (PBE-GGA, optimized geometry)
data_YHf31O64
_chemical_formula_sum 'Y1 Hf31 O64'
_space_group_name_H-M_alt 'P 1'
_space_group_IT_number 1
_space_group_name_Hall 'P 1'
_cell_length_a 10.012
_cell_length_b 10.116
_cell_length_c 10.437
_cell_angle_alpha 89.96
_cell_angle_beta 89.99
_cell_angle_gamma 89.92
loop_
_atom_site_label
_atom_site_type_symbol
_atom_site_fract_x
_atom_site_fract_y
_atom_site_fract_z
Y1 Y 0.000 0.000 0.000
Hf1 Hf 0.003 0.496 0.004
Hf2 Hf 0.003 0.747 0.218
Hf3 Hf 0.004 0.497 0.504
Hf4 Hf 0.004 0.746 0.719
Hf5 Hf 0.004 0.996 0.504
Hf6 Hf 0.005 0.246 0.718
Hf7 Hf 0.005 0.249 0.220
Hf8 Hf 0.233 0.743 0.969
Hf9 Hf 0.233 0.993 0.253
Hf10 Hf 0.234 0.242 0.468
Hf11 Hf 0.234 0.242 0.969
Hf12 Hf 0.234 0.492 0.755
Hf13 Hf 0.234 0.493 0.254
Hf14 Hf 0.234 0.742 0.468
Hf15 Hf 0.235 0.992 0.752
Hf16 Hf 0.503 0.492 0.004
Hf17 Hf 0.503 0.492 0.504
Hf18 Hf 0.503 0.741 0.718
Hf19 Hf 0.503 0.742 0.219
Hf20 Hf 0.503 0.992 0.504
Hf21 Hf 0.504 0.242 0.219
Hf22 Hf 0.504 0.243 0.719
Hf23 Hf 0.504 0.991 0.004
Hf24 Hf 0.731 0.995 0.754
Hf25 Hf 0.732 0.745 0.967
Hf26 Hf 0.732 0.996 0.255
Hf27 Hf 0.733 0.248 0.969
Hf28 Hf 0.734 0.246 0.469
Hf29 Hf 0.734 0.496 0.754
Hf30 Hf 0.734 0.497 0.255
Hf31 Hf 0.734 0.746 0.469
O1 O 0.095 0.118 0.357
O2 O 0.095 0.369 0.868
O3 O 0.095 0.617 0.857
O4 O 0.095 0.868 0.367
O5 O 0.096 0.618 0.356
O6 O 0.097 0.369 0.368
O7 O 0.101 0.864 0.860
O8 O 0.106 0.124 0.848
O9 O 0.141 0.620 0.116
O10 O 0.142 0.120 0.613
O11 O 0.142 0.620 0.618
O12 O 0.142 0.870 0.604
O13 O 0.143 0.370 0.606
O14 O 0.143 0.373 0.106
O15 O 0.147 0.127 0.121
O16 O 0.147 0.867 0.111
O17 O 0.329 0.556 0.424
O18 O 0.329 0.556 0.924
O19 O 0.330 0.055 0.924
O20 O 0.330 0.057 0.423
O21 O 0.330 0.307 0.299
O22 O 0.331 0.308 0.800
O23 O 0.331 0.805 0.799
O24 O 0.331 0.806 0.301
O25 O 0.408 0.555 0.673
O26 O 0.408 0.556 0.173
O27 O 0.408 0.807 0.550
O28 O 0.409 0.057 0.673
O29 O 0.409 0.306 0.549
O30 O 0.409 0.805 0.049
O31 O 0.410 0.055 0.174
O32 O 0.410 0.306 0.049
O33 O 0.588 0.869 0.854
O34 O 0.595 0.121 0.367
O35 O 0.595 0.121 0.866
O36 O 0.595 0.619 0.866
O37 O 0.595 0.620 0.367
O38 O 0.595 0.870 0.356
O39 O 0.596 0.370 0.356
O40 O 0.596 0.371 0.856
O41 O 0.640 0.867 0.118
O42 O 0.641 0.617 0.106
O43 O 0.642 0.118 0.605
O44 O 0.642 0.368 0.118
O45 O 0.642 0.368 0.617
O46 O 0.642 0.617 0.605
O47 O 0.642 0.867 0.617
O48 O 0.643 0.118 0.105
O49 O 0.814 0.927 0.921
O50 O 0.827 0.435 0.924
O51 O 0.827 0.933 0.427
O52 O 0.829 0.432 0.425
O53 O 0.829 0.682 0.301
O54 O 0.829 0.682 0.798
O55 O 0.830 0.182 0.301
O56 O 0.833 0.179 0.803
O57 O 0.904 0.927 0.183
O58 O 0.906 0.200 0.054
O59 O 0.908 0.182 0.551
O60 O 0.908 0.684 0.048
O61 O 0.909 0.433 0.674
O62 O 0.909 0.683 0.549
O63 O 0.909 0.933 0.675
O64 O 0.911 0.439 0.177
# **Final energy**: -10.085 eV per atom
# **Total moment**: 0.9 μB/cell



No. 2
# Rb2CoNi2S4 (PBE-GGA, optimized geometry)
data_Rb2CoNi2S4
_chemical_formula_sum 'Rb8 Co4 Ni8 S16'
_space_group_name_H-M_alt 'F m m m'
_space_group_IT_number 69
_space_group_name_Hall '-F 2 2'
_cell_length_a 5.894
_cell_length_b 9.894
_cell_length_c 14.059
_cell_angle_alpha 90.00
_cell_angle_beta 90.00
_cell_angle_gamma 90.00
loop_
_atom_site_label
_atom_site_type_symbol
_atom_site_fract_x
_atom_site_fract_y
_atom_site_fract_z
Rb1 Rb 0.000 0.000 0.158
Co1 Co 0.000 0.000 0.500
Ni1 Ni 0.250 0.250 0.000
S1 S 0.000 0.168 0.397
# **Final energy**: -4.765 eV per atom
# **Total moment**: 3.9 μB/cell



No. 3
# Zr5Sc2Hg (PBE-GGA, optimized geometry)
data_Zr5Sc2Hg
_chemical_formula_sum 'Zr10 Sc4 Hg2'
_space_group_name_H-M_alt 'A m m 2'
_space_group_IT_number 38
_space_group_name_Hall 'A 2 -2'
_cell_length_a 5.126
_cell_length_b 6.383
_cell_length_c 11.146
_cell_angle_alpha 90.00
_cell_angle_beta 90.00
_cell_angle_gamma 90.00
loop_
_atom_site_label
_atom_site_type_symbol
_atom_site_fract_x
_atom_site_fract_y
_atom_site_fract_z
Zr1 Zr 0.000 0.000 0.000
Zr2 Zr 0.000 0.249 0.754
Zr3 Zr 0.500 0.243 0.921
Sc1 Sc 0.000 0.000 0.506
Sc2 Sc 0.500 0.000 0.168
Hg1 Hg 0.500 0.000 0.667
# **Final energy**: -6.985 eV per atom
# **Total moment**: 0.1 μB/cell
# **ΔE_f**: -0.0242 eV/atom



No. 4
# ErMg2Pb (PBE-GGA, optimized geometry)
data_ErMg2Pb
_chemical_formula_sum 'Er1 Mg2 Pb1'
_space_group_name_H-M_alt 'P 4/m m m'
_space_group_IT_number 123
_space_group_name_Hall '-P 4 2'
_cell_length_a 4.535
_cell_length_b 4.535
_cell_length_c 4.775
_cell_angle_alpha 90.00
_cell_angle_beta 90.00
_cell_angle_gamma 90.00
loop_
_atom_site_label
_atom_site_type_symbol
_atom_site_fract_x
_atom_site_fract_y
_atom_site_fract_z
Er1 Er 0.000 0.000 0.000
Mg1 Mg 0.000 0.500 0.500
Pb1 Pb 0.500 0.500 0.000
# **Final energy**: -3.120 eV per atom
# **Total moment**: 0.0 μB/cell



No. 5
# LaHoIn2Ni4 (PBE-GGA, optimized geometry)
data_LaHoIn2Ni4
_chemical_formula_sum 'La1 Ho1 In2 Ni4'
_space_group_name_H-M_alt 'P m m 2'
_space_group_IT_number 25
_space_group_name_Hall 'P 2 -2'
_cell_length_a 4.052
_cell_length_b 5.177
_cell_length_c 7.079
_cell_angle_alpha 90.00
_cell_angle_beta 90.00
_cell_angle_gamma 90.00
loop_
_atom_site_label
_atom_site_type_symbol
_atom_site_fract_x
_atom_site_fract_y
_atom_site_fract_z
La1 La 0.000 0.000 0.000
Ho1 Ho 0.000 0.500 0.466
In1 In 0.500 0.000 0.386
In2 In 0.500 0.500 0.090
Ni1 Ni 0.000 0.000 0.619
Ni2 Ni 0.000 0.500 0.843
Ni3 Ni 0.500 0.259 0.724
# **Final energy**: -5.100 eV per atom
# **Total moment**: 0.0 μB/cell



No. 6
# HgAs4S4I2 (PBE-GGA, optimized geometry)
data_HgAs4S4I2
_chemical_formula_sum 'Hg4 As16 S16 I8'
_space_group_name_H-M_alt 'P 1 21/c 1'
_space_group_IT_number 14
_space_group_name_Hall '-P 2ybc'
_cell_length_a 9.828
_cell_length_b 15.692
_cell_length_c 12.212
_cell_angle_alpha 90.00
_cell_angle_beta 127.79
_cell_angle_gamma 90.00
loop_
_atom_site_label
_atom_site_type_symbol
_atom_site_fract_x
_atom_site_fract_y
_atom_site_fract_z
Hg1 Hg 0.213 0.046 0.005
As1 As 0.127 0.548 0.906
As2 As 0.283 0.655 0.217
As3 As 0.385 0.034 0.622
As4 As 0.471 0.687 0.136
S1 S 0.034 0.623 0.008
S2 S 0.276 0.659 0.908
S3 S 0.362 0.516 0.283
S4 S 0.398 0.057 0.317
I1 I 0.124 0.618 0.470
I2 I 0.262 0.207 0.966
# **Final energy**: -3.677 eV per atom



No. 7
# YHoAl2Ir4 (PBE-GGA, optimized geometry)
data_YHoAl2Ir4
_chemical_formula_sum 'Y1 Ho1 Al2 Ir4'
_space_group_name_H-M_alt 'P -6 m 2'
_space_group_IT_number 187
_space_group_name_Hall 'P -6 2'
_cell_length_a 4.2923
_cell_length_b 4.2923
_cell_length_c 9.1582
_cell_angle_alpha 90.00
_cell_angle_beta 90.00
_cell_angle_gamma 120.00
loop_
_atom_site_label
_atom_site_type_symbol
_atom_site_fract_x
_atom_site_fract_y
_atom_site_fract_z
Y1 Y 0.0000 0.0000 0.0000
Ho1 Ho 0.3333 0.6667 0.5000
Al1 Al 0.6667 0.3333 0.2505
Ir1 Ir 0.0000 0.0000 0.3359
Ir2 Ir 0.3333 0.6667 0.1690
# **Final energy**: -7.449 eV per atom
# **Total moment**: 0.0 μB/cell



No. 8
# TaBr8 (PBE-GGA, optimized geometry)
data_TaBr8
_chemical_formula_sum 'Ta1 Br8'
_space_group_name_H-M_alt 'P 6/m m m'
_space_group_IT_number 191
_space_group_name_Hall '-P 6 2'
_cell_length_a 10.4117
_cell_length_b 10.4117
_cell_length_c 3.1000
_cell_angle_alpha 90.00
_cell_angle_beta 90.00
_cell_angle_gamma 120.00
loop_
_atom_site_label
_atom_site_type_symbol
_atom_site_fract_x
_atom_site_fract_y
_atom_site_fract_z
Ta1 Ta 0.0000 0.0000 0.0000
Br1 Br 0.1510 0.3020 0.5000
Br2 Br 0.3333 0.6667 0.5000
# **Final energy**: -2.312 eV per atom
# **Total moment**: 0.0 μB/cell